Entry 1:
The following is a DFT calculation (PBE-GGA) of a relaxed CsHgP2Pt crystal.

abc: 4.736 4.736 6.780
angles: 90.00 90.00 90.00
Space group P4/mmm (No. 123)
Asymmetric unit:
Cs  0.000  0.000  0.000 [1 per cell]
Hg  0.500  0.500  0.000 [1 per cell]
P  0.000  0.500  0.500 [2 per cell]
Pt  0.000  0.000  0.500 [1 per cell]

Calculated values
* total moment: 0.00 μB per atom
* ΔE_f: 0.255 eV per atom

Entry 2:
The following is a DFT calculation (PBE-GGA) of a relaxed La2PrHo7 crystal.

abc: 5.091 7.167 9.514
angles: 101.32 105.51 90.14
Space group P-1 (No. 2)
Asymmetric unit:
La  0.198  0.102  0.396 [2 per cell]
Pr  0.000  0.500  0.000 [1 per cell]
Ho  0.000  0.000  0.000 [1 per cell]
Ho  0.199  0.600  0.399 [2 per cell]
Ho  0.400  0.698  0.800 [2 per cell]
Ho  0.402  0.200  0.803 [2 per cell]

Calculated values
* ΔE to the lowest computed polymorph: 0.00 eV per formula unit
* total moment: 0.00 μB per atom
* ΔE_f: 0.028 eV per atom

Entry 3:
The following is a DFT calculation (PBE-GGA) of a relaxed AcHf2Zr crystal.

abc: 3.3043 3.3043 34.5215
angles: 90.00 90.00 120.00
Space group R-3m (No. 166, hexagonal axes)
Asymmetric unit:
Ac  0.0000  0.0000  0.0000 [3 per cell]
Hf  0.0000  0.0000  0.0953 [6 per cell]
Zr  0.0000  0.0000  0.5000 [3 per cell]

Calculated values
* ΔE to the lowest computed polymorph: 0.72 eV per formula unit
* total moment: 0.00 μB per atom
* ΔE_f: 0.404 eV per atom

| no. | density of states at the Fermi level (states/eV/cell) |
| --- | --- |
| 1 | 4.69 |
| 2 | 14.56 |
| 3 | 15.23 |